First-principles (PBE with a Hubbard U) data for a relaxed Li3PaCo4O12 crystal, as listed in Alexandria via LeMat-Bulk.

Geometry as POSCAR:
```
Li3PaCo4O12
1.0
6.235 0.000 0.000
-2.078 5.878 0.000
-2.078 -2.939 5.091
Li O Co Pa
3 12 4 1
Direct
0.500 0.000 0.500
0.500 0.500 0.000
0.000 0.500 0.500
0.532 0.712 0.821
0.891 0.712 0.179
0.288 0.821 0.109
0.821 0.109 0.288
0.109 0.288 0.821
0.712 0.821 0.532
0.468 0.288 0.179
0.179 0.891 0.712
0.288 0.179 0.468
0.179 0.468 0.288
0.821 0.532 0.712
0.712 0.179 0.891
0.000 0.000 0.500
0.000 0.500 0.000
0.500 0.000 0.000
0.500 0.500 0.500
0.000 0.000 0.000
```

Calculated values
Space group: No. 204
V in Å³/cell: 187
D(E_F) in states/eV per atom: 0.784
Total magnetic moment in μB/cell: 3.92
Raw total energy in eV per atom: -6.204